(1)
The following is a PBE-GGA calculation of a geometry-optimized CaYIr structure, from Alexandria via LeMat-Bulk.

Cell: 4.0657 4.0657 6.4249 Å, 90.00 90.00 120.00°
Space group P3m1 (No. 156)
Asymmetric unit:
1 Ca 0.0000 0.0000 0.0000 x1
2 Y 0.3333 0.6667 0.4712 x1
3 Ir 0.6667 0.3333 0.2551 x1

ΔE to the lowest computed polymorph: 174 meV per atom
Crystal system: trigonal
Formation energy: -0.35 eV/atom
M_tot: 0.000 μB per atom



(2)
The following is a PBE-GGA calculation of a geometry-optimized GeAsPdSe2 structure, from Alexandria via LeMat-Bulk.

Cell: 5.124 5.124 4.636 Å, 90.00 90.00 90.00°
Space group P4/mmm (No. 123)
Asymmetric unit:
1 Ge 0.000 0.000 0.000 x1
2 As 0.500 0.500 0.000 x1
3 Pd 0.500 0.500 0.500 x1
4 Se 0.000 0.500 0.500 x2

ΔE to the lowest computed polymorph: 0 meV per atom
Uncorrected formation energy: 462 meV/atom
Crystal system: tetragonal
M_tot: 0.000 μB per atom



(3)
The following is a PBE-GGA calculation of a geometry-optimized Ca2BeGeO5 structure, from Alexandria via LeMat-Bulk.

Cell: 3.043 13.057 10.123 Å, 90.00 90.00 90.00°
Space group Cmc2_1 (No. 36)
Asymmetric unit:
1 Ca 0.000 0.093 0.000 x4
2 Ca 0.000 0.131 0.658 x4
3 Be 0.000 0.438 0.759 x4
4 Ge 0.000 0.205 0.362 x4
5 O 0.000 0.058 0.346 x4
6 O 0.000 0.289 0.991 x4
7 O 0.000 0.310 0.735 x4
8 O 0.000 0.345 0.341 x4
9 O 0.000 0.498 0.626 x4

Uncorrected formation energy: -2470 meV/atom
Crystal system: orthorhombic
M_tot: 0.000 μB per atom



(4)
The following is a PBE-GGA calculation of a geometry-optimized Mg2FeRe structure, from Alexandria via LeMat-Bulk.

Cell: 2.902 4.563 9.263 Å, 90.00 90.00 90.00°
Space group Immm (No. 71)
Asymmetric unit:
1 Mg 0.000 0.000 0.236 x4
2 Fe 0.000 0.500 0.500 x2
3 Re 0.000 0.500 0.000 x2

ΔE to the lowest computed polymorph: 249 meV per atom
Crystal system: orthorhombic
Formation energy: 0.37 eV/atom
M_tot: 0.595 μB per atom



(5)
The following is a PBE-GGA calculation of a geometry-optimized Sm3HgAu5 structure, from Alexandria via LeMat-Bulk.

Cell: 8.163 8.163 13.344 Å, 90.00 90.00 90.00°
Space group I4/mcm (No. 140)
Asymmetric unit:
1 Sm 0.000 0.000 0.250 x4
2 Sm 0.131 0.369 0.000 x8
3 Hg 0.000 0.500 0.250 x4
4 Au 0.000 0.000 0.000 x4
5 Au 0.201 0.299 0.352 x16

ΔE to the lowest computed polymorph: 263 meV per atom
Crystal system: tetragonal
Formation energy: -0.45 eV/atom
M_tot: 0.000 μB per atom



(6)
The following is a PBE-GGA calculation of a geometry-optimized NdSmZnPt structure, from Alexandria via LeMat-Bulk.

Cell: 7.246 7.246 7.246 Å, 90.00 90.00 90.00°
Space group F-43m (No. 216)
Asymmetric unit:
1 Nd 0.000 0.000 0.000 x4
2 Sm 0.000 0.000 0.500 x4
3 Zn 0.250 0.250 0.750 x4
4 Pt 0.250 0.250 0.250 x4

ΔE to the lowest computed polymorph: 54 meV per atom
Crystal system: cubic
Formation energy: -0.68 eV/atom
M_tot: 0.000 μB per atom



Number 1: final energy -6.12 eV/atom. Number 2: final energy -3.82 eV/atom. Number 3: final energy -6.60 eV/atom. Number 4: final energy -5.65 eV/atom. Number 5: final energy -3.88 eV/atom. Number 6: final energy -4.89 eV/atom.